The following is a PBE-GGA calculation of a geometry-optimized Tb3Pr8Pu structure, from Alexandria.

a = 7.1059 Å, b = 12.0656 Å, c = 9.9117 Å
α = 90.00°, β = 104.11°, γ = 90.00°
Space group C2/m (No. 12)
Inequivalent atoms, fractional coordinates:
Tb  0.0000  0.0000  0.0000
Tb  0.2500  0.2500  0.5000
Pr  0.0687  0.2606  0.8353
Pr  0.1787  0.0000  0.6766
Pr  0.1818  0.5000  0.6602
Pu  0.0000  0.5000  0.0000

Output
- Total energy: -129.7 eV for the cell shown
- Calculated formation energy: 0.134 eV per atom